CaNpCuO6 after structural relaxation. Source: Alexandria via LeMat-Bulk, functional GGA-PBE.

CIF file:
```
data_CaNpCuO6
_chemical_formula_sum 'Ca2 Np2 Cu2 O12'
_cell_length_a 5.2646
_cell_length_b 5.2646
_cell_length_c 10.3112
_cell_angle_alpha 90.00
_cell_angle_beta 90.00
_cell_angle_gamma 120.00
_symmetry_space_group_name_H-M 'P -3 1 c'
_symmetry_Int_Tables_number 163
_symmetry_space_group_name_Hall '-P 3 2c'
loop_
_atom_site_label
_atom_site_fract_x
_atom_site_fract_y
_atom_site_fract_z
Ca1 0.0000 0.0000 0.0000
Np1 0.3333 0.6667 0.2500
Cu1 0.3333 0.6667 0.7500
O1 0.0011 0.3605 0.1416
```

Ca2NpCuO6 after structural relaxation. Source: Alexandria via LeMat-Bulk, functional GGA-PBE.

CIF file:
```
data_Ca2NpCuO6
_chemical_formula_sum 'Ca4 Np2 Cu2 O12'
_cell_length_a 10.4273
_cell_length_b 5.5595
_cell_length_c 5.4558
_cell_angle_alpha 90.00
_cell_angle_beta 119.40
_cell_angle_gamma 90.00
_symmetry_space_group_name_H-M 'C 1 2/m 1'
_symmetry_Int_Tables_number 12
_symmetry_space_group_name_Hall '-C 2y'
loop_
_atom_site_label
_atom_site_fract_x
_atom_site_fract_y
_atom_site_fract_z
Ca1 0.2473 0.0000 0.1986
Np1 0.0000 0.0000 0.5000
Cu1 0.0000 0.5000 0.0000
O1 0.0730 0.2574 0.8322
O2 0.2038 0.0000 0.5707
```

CaNpCu2O6 after structural relaxation. Source: Alexandria via LeMat-Bulk, functional GGA-PBE.

CIF file:
```
data_CaNpCu2O6
_chemical_formula_sum 'Ca3 Np3 Cu6 O18'
_cell_length_a 5.4622
_cell_length_b 5.4622
_cell_length_c 15.7175
_cell_angle_alpha 90.00
_cell_angle_beta 90.00
_cell_angle_gamma 120.00
_symmetry_space_group_name_H-M 'R -3'
_symmetry_Int_Tables_number 148
_symmetry_space_group_name_Hall '-R 3'
loop_
_atom_site_label
_atom_site_fract_x
_atom_site_fract_y
_atom_site_fract_z
Ca1 0.0000 0.0000 0.0000
Np1 0.0000 0.0000 0.5000
Cu1 0.0000 0.0000 0.2417
O1 0.0032 0.3049 0.4228
```

Ca2NpCuS5 after structural relaxation. Source: Alexandria via LeMat-Bulk, functional GGA-PBE.

CIF file:
```
data_Ca2NpCuS5
_chemical_formula_sum 'Ca8 Np4 Cu4 S20'
_cell_length_a 3.9127
_cell_length_b 16.5606
_cell_length_c 12.2042
_cell_angle_alpha 90.00
_cell_angle_beta 90.00
_cell_angle_gamma 90.00
_symmetry_space_group_name_H-M 'C m c 21'
_symmetry_Int_Tables_number 36
_symmetry_space_group_name_Hall 'C 2c -2'
loop_
_atom_site_label
_atom_site_fract_x
_atom_site_fract_y
_atom_site_fract_z
Ca1 0.0000 0.0966 0.0000
Ca2 0.0000 0.1146 0.6552
Np1 0.0000 0.2060 0.3495
Cu1 0.0000 0.4318 0.7535
S1 0.0000 0.0532 0.3541
S2 0.0000 0.2880 0.9971
S3 0.0000 0.2966 0.7034
S4 0.0000 0.3628 0.3341
S5 0.0000 0.4980 0.0939
```

Ca3Np3CuS8 after structural relaxation. Source: Alexandria via LeMat-Bulk, functional GGA-PBE.

CIF file:
```
data_Ca3Np3CuS8
_chemical_formula_sum 'Ca6 Np6 Cu2 S16'
_cell_length_a 13.6567
_cell_length_b 7.7712
_cell_length_c 8.0015
_cell_angle_alpha 90.00
_cell_angle_beta 124.62
_cell_angle_gamma 90.00
_symmetry_space_group_name_H-M 'C 1 2/m 1'
_symmetry_Int_Tables_number 12
_symmetry_space_group_name_Hall '-C 2y'
loop_
_atom_site_label
_atom_site_fract_x
_atom_site_fract_y
_atom_site_fract_z
Ca1 0.0000 0.0000 0.0000
Ca2 0.2500 0.2500 0.0000
Np1 0.0000 0.5000 0.5000
Np2 0.2500 0.2500 0.5000
Cu1 0.0000 0.0000 0.5000
S1 0.0043 0.2392 0.2721
S2 0.2501 0.0000 0.2508
S3 0.2496 0.0000 0.7398
```

CaNpCu2S4 after structural relaxation. Source: Alexandria via LeMat-Bulk, functional GGA-PBE.

CIF file:
```
data_CaNpCu2S4
_chemical_formula_sum 'Ca2 Np2 Cu4 S8'
_cell_length_a 6.5495
_cell_length_b 6.5495
_cell_length_c 7.2400
_cell_angle_alpha 90.00
_cell_angle_beta 90.00
_cell_angle_gamma 90.00
_symmetry_space_group_name_H-M 'I 4/m m m'
_symmetry_Int_Tables_number 139
_symmetry_space_group_name_Hall '-I 4 2'
loop_
_atom_site_label
_atom_site_fract_x
_atom_site_fract_y
_atom_site_fract_z
Ca1 0.0000 0.0000 0.0000
Np1 0.0000 0.0000 0.5000
Cu1 0.0000 0.5000 0.2500
S1 0.2500 0.2500 0.2500
```

CaCuO3 after structural relaxation. Source: Alexandria via LeMat-Bulk, functional GGA-PBE.

CIF file:
```
data_CaCuO3
_chemical_formula_sum 'Ca1 Cu1 O3'
_cell_length_a 3.7534
_cell_length_b 3.7534
_cell_length_c 3.7534
_cell_angle_alpha 90.00
_cell_angle_beta 90.00
_cell_angle_gamma 90.00
_symmetry_space_group_name_H-M 'P m -3 m'
_symmetry_Int_Tables_number 221
_symmetry_space_group_name_Hall '-P 4 2 3'
loop_
_atom_site_label
_atom_site_fract_x
_atom_site_fract_y
_atom_site_fract_z
Ca1 0.0000 0.0000 0.0000
Cu1 0.5000 0.5000 0.5000
O1 0.0000 0.5000 0.5000
```

# CaCu2O4 GGA-PBE relaxed
data_CaCu2O4
_chemical_formula_sum 'Ca4 Cu8 O16'
_cell_length_a 14.4143
_cell_length_b 2.9772
_cell_length_c 8.7504
_cell_angle_alpha 90.00
_cell_angle_beta 117.84
_cell_angle_gamma 90.00
_symmetry_space_group_name_H-M 'C 1 2/m 1'
_symmetry_Int_Tables_number 12
_symmetry_space_group_name_Hall '-C 2y'
loop_
_atom_site_label
_atom_site_fract_x
_atom_site_fract_y
_atom_site_fract_z
Ca1 0.1111 0.0000 0.1641
Cu1 0.0860 0.0000 0.7884
Cu2 0.1652 0.5000 0.5241
O1 0.0561 0.5000 0.9144
O2 0.0736 0.0000 0.3993
O3 0.1406 0.5000 0.7214
O4 0.2245 0.5000 0.3565
# Energy above the lowest structure with this stoichiometry, kcal/mol of atoms: 6.01

Magnetization per entry: 4.00; 3.54; 3.10; 7.98; 8.32; 7.78; 0.00; 5.63 Bohr magnetons per cell
Formation energy (no corrections) per entry: -197.9; -239.8; -185.9; -134.8; -135.5; -89.7; -122.8; -100.7 kJ/mol of atoms
DFT total energy per entry: -134.49; -151.28; -216.46; -217.02; -206.02; -94.16; -27.34; -149.33 eV/cell